# 1
DFT (PBE) results for crystalline LaMn2Tc at its relaxed geometry.

Unit cell a=4.611 b=4.611 c=15.980 alpha=90.00 beta=90.00 gamma=90.00
Fractional coordinates of all 16 atoms:
La  0.000  0.250  0.375
La  0.000  0.750  0.625
La  0.500  0.250  0.125
La  0.500  0.750  0.875
Mn  0.000  0.000  0.000
Mn  0.000  0.500  0.000
Mn  0.250  0.250  0.750
Mn  0.250  0.750  0.250
Mn  0.500  0.000  0.500
Mn  0.500  0.500  0.500
Mn  0.750  0.250  0.750
Mn  0.750  0.750  0.250
Tc  0.000  0.250  0.875
Tc  0.000  0.750  0.125
Tc  0.500  0.250  0.625
Tc  0.500  0.750  0.375

## Properties
- energy relative to the elements (eV/atom) = 0.67
- energy (eV per cell) = -123.9
- excess energy over the best structure of this formula in the dataset (meV/atom) = 474
- SG = No. 141

# 2
DFT (PBE) results for crystalline CeErTe2 at its relaxed geometry.

Unit cell a=4.281 b=25.342 c=4.459 alpha=90.00 beta=90.00 gamma=90.00
Fractional coordinates of all 16 atoms:
Ce  0.000  0.071  0.250
Ce  0.000  0.929  0.750
Ce  0.500  0.429  0.750
Ce  0.500  0.571  0.250
Er  0.000  0.321  0.250
Er  0.000  0.679  0.750
Er  0.500  0.179  0.750
Er  0.500  0.821  0.250
Te  0.000  0.197  0.250
Te  0.000  0.440  0.250
Te  0.000  0.560  0.750
Te  0.000  0.803  0.750
Te  0.500  0.060  0.750
Te  0.500  0.303  0.750
Te  0.500  0.697  0.250
Te  0.500  0.940  0.250

## Properties
- energy (eV per cell) = -86.6
- excess energy over the best structure of this formula in the dataset (meV/atom) = 91
- uncorrected formation energy (meV/atom) = -1215
- SG = No. 63

# 3
DFT (PBE) results for crystalline Mg2AsRu at its relaxed geometry.

Unit cell a=4.149 b=4.149 c=3.764 alpha=90.00 beta=90.00 gamma=90.00
Fractional coordinates of all 4 atoms:
Mg  0.000  0.500  0.000
Mg  0.500  0.000  0.000
As  0.000  0.000  0.500
Ru  0.500  0.500  0.500

## Properties
- energy relative to the elements (eV/atom) = -0.13
- energy (eV per cell) = -17.6
- SG = No. 123

# 4
DFT (PBE) results for crystalline SrPmTlCl6 at its relaxed geometry.

Unit cell a=7.468 b=7.468 c=13.466 alpha=90.00 beta=90.00 gamma=120.00
Fractional coordinates of all 18 atoms:
Sr  0.333  0.667  0.250
Sr  0.667  0.333  0.750
Pm  0.333  0.667  0.750
Pm  0.667  0.333  0.250
Tl  0.000  0.000  0.000
Tl  0.000  0.000  0.500
Cl  0.018  0.376  0.636
Cl  0.018  0.642  0.864
Cl  0.358  0.376  0.864
Cl  0.358  0.982  0.636
Cl  0.376  0.018  0.136
Cl  0.376  0.358  0.364
Cl  0.624  0.642  0.636
Cl  0.624  0.982  0.864
Cl  0.642  0.018  0.364
Cl  0.642  0.624  0.136
Cl  0.982  0.358  0.136
Cl  0.982  0.624  0.364

## Properties
- energy (eV per cell) = -77.1
- uncorrected formation energy (meV/atom) = -2077
- SG = No. 163

# 5
DFT (PBE) results for crystalline DyZn5CuNi2 at its relaxed geometry.

Unit cell a=4.586 b=4.586 c=6.938 alpha=90.00 beta=90.00 gamma=90.00
Fractional coordinates of all 9 atoms:
Dy  0.000  0.000  0.000
Zn  0.000  0.500  0.299
Zn  0.000  0.500  0.701
Zn  0.500  0.000  0.299
Zn  0.500  0.000  0.701
Zn  0.500  0.500  0.000
Cu  0.000  0.000  0.500
Ni  0.500  0.500  0.335
Ni  0.500  0.500  0.665

## Properties
- energy relative to the elements (eV/atom) = -0.05
- energy (eV per cell) = -27.1
- SG = No. 123

# 6
DFT (PBE) results for crystalline K5CdO3 at its relaxed geometry.

Unit cell a=6.261 b=3.994 c=18.675 alpha=90.00 beta=95.36 gamma=90.00
Fractional coordinates of all 18 atoms:
K  0.176  0.000  0.273
K  0.179  0.000  0.932
K  0.251  0.000  0.615
K  0.275  0.500  0.442
K  0.311  0.500  0.108
K  0.689  0.500  0.892
K  0.725  0.500  0.558
K  0.749  0.000  0.385
K  0.821  0.000  0.068
K  0.824  0.000  0.727
Cd  0.286  0.500  0.767
Cd  0.714  0.500  0.233
O  0.000  0.500  0.000
O  0.044  0.500  0.673
O  0.449  0.000  0.808
O  0.500  0.000  0.500
O  0.551  0.000  0.192
O  0.956  0.500  0.327

## Properties
- energy (eV per cell) = -59.3
- excess energy over the best structure of this formula in the dataset (meV/atom) = 0
- uncorrected formation energy (meV/atom) = -930
- SG = No. 10

# 7
DFT (PBE) results for crystalline MgAlTcMo at its relaxed geometry.

Unit cell a=6.266 b=6.266 c=6.266 alpha=90.00 beta=90.00 gamma=90.00
Fractional coordinates of all 16 atoms:
Mg  0.000  0.000  0.000
Mg  0.000  0.500  0.500
Mg  0.500  0.000  0.500
Mg  0.500  0.500  0.000
Al  0.250  0.250  0.250
Al  0.250  0.750  0.750
Al  0.750  0.250  0.750
Al  0.750  0.750  0.250
Tc  0.250  0.250  0.750
Tc  0.250  0.750  0.250
Tc  0.750  0.250  0.250
Tc  0.750  0.750  0.750
Mo  0.000  0.000  0.500
Mo  0.000  0.500  0.000
Mo  0.500  0.000  0.000
Mo  0.500  0.500  0.500

## Properties
- energy relative to the elements (eV/atom) = -0.10
- energy (eV per cell) = -107.8
- SG = No. 216

# 8
DFT (PBE) results for crystalline K6RbIO at its relaxed geometry.

Unit cell a=8.866 b=8.866 c=7.987 alpha=90.09 beta=90.09 gamma=120.31
Fractional coordinates of all 9 atoms:
K  0.094  0.094  0.301
K  0.096  0.390  0.699
K  0.610  0.904  0.301
K  0.612  0.094  0.700
K  0.906  0.388  0.300
K  0.906  0.906  0.699
Rb  0.538  0.462  0.000
I  0.203  0.797  0.500
O  0.871  0.129  0.500

## Properties
- energy (eV per cell) = -19.6
- uncorrected formation energy (meV/atom) = -610
- SG = No. 5

# 9
DFT (PBE) results for crystalline Dy3Ni7Ru2 at its relaxed geometry.

Unit cell a=8.822 b=8.822 c=8.822 alpha=32.90 beta=32.90 gamma=32.90
Fractional coordinates of all 12 atoms:
Dy  0.000  0.000  0.000
Dy  0.138  0.138  0.138
Dy  0.862  0.862  0.862
Ni  0.083  0.584  0.584
Ni  0.416  0.416  0.917
Ni  0.416  0.917  0.416
Ni  0.500  0.500  0.500
Ni  0.584  0.083  0.584
Ni  0.584  0.584  0.083
Ni  0.917  0.416  0.416
Ru  0.333  0.333  0.333
Ru  0.667  0.667  0.667

## Properties
- energy relative to the elements (eV/atom) = -0.34
- energy (eV per cell) = -76.9
- SG = No. 166

# 10
DFT (PBE) results for crystalline Lu2CN at its relaxed geometry.

Unit cell a=3.388 b=3.388 c=17.180 alpha=90.00 beta=90.00 gamma=120.00
Fractional coordinates of all 12 atoms:
Lu  0.000  0.000  0.247
Lu  0.000  0.000  0.753
Lu  0.333  0.667  0.420
Lu  0.333  0.667  0.913
Lu  0.667  0.333  0.087
Lu  0.667  0.333  0.580
C  0.000  0.000  0.000
C  0.333  0.667  0.667
C  0.667  0.333  0.333
N  0.000  0.000  0.500
N  0.333  0.667  0.167
N  0.667  0.333  0.833

## Properties
- energy (eV per cell) = -91.2
- uncorrected formation energy (meV/atom) = -952
- SG = No. 166

# 11
DFT (PBE) results for crystalline Rb2TeAu2 at its relaxed geometry.

Unit cell a=7.771 b=7.771 c=5.315 alpha=90.00 beta=90.00 gamma=90.00
Fractional coordinates of all 10 atoms:
Rb  0.180  0.320  0.000
Rb  0.320  0.820  0.000
Rb  0.680  0.180  0.000
Rb  0.820  0.680  0.000
Te  0.000  0.000  0.500
Te  0.500  0.500  0.500
Au  0.127  0.627  0.500
Au  0.373  0.127  0.500
Au  0.627  0.873  0.500
Au  0.873  0.373  0.500

## Properties
- energy (eV per cell) = -27.4
- excess energy over the best structure of this formula in the dataset (meV/atom) = 110
- uncorrected formation energy (meV/atom) = -409
- SG = No. 127

# 12
DFT (PBE) results for crystalline Nd4CdNi at its relaxed geometry.

Unit cell a=7.122 b=7.586 c=7.126 alpha=90.00 beta=96.64 gamma=90.00
Fractional coordinates of all 12 atoms:
Nd  0.149  0.175  0.195
Nd  0.149  0.325  0.695
Nd  0.324  0.646  0.098
Nd  0.324  0.854  0.598
Nd  0.676  0.146  0.402
Nd  0.676  0.354  0.902
Nd  0.851  0.675  0.305
Nd  0.851  0.825  0.805
Cd  0.500  0.000  0.000
Cd  0.500  0.500  0.500
Ni  0.000  0.000  0.500
Ni  0.000  0.500  0.000

## Properties
- energy relative to the elements (eV/atom) = -0.05
- energy (eV per cell) = -52.1
- excess energy over the best structure of this formula in the dataset (meV/atom) = 197
- SG = No. 14

# 13
DFT (PBE) results for crystalline RbYPd2Pb at its relaxed geometry.

Unit cell a=5.329 b=5.329 c=6.060 alpha=90.00 beta=90.00 gamma=90.00
Fractional coordinates of all 5 atoms:
Rb  0.000  0.000  0.000
Y  0.500  0.500  0.500
Pd  0.000  0.500  0.500
Pd  0.500  0.000  0.500
Pb  0.500  0.500  0.000

## Properties
- energy relative to the elements (eV/atom) = 0.26
- energy (eV per cell) = -20.2
- SG = No. 123

# 14
DFT (PBE) results for crystalline CdInGaHg at its relaxed geometry.

Unit cell a=7.269 b=7.269 c=7.269 alpha=90.00 beta=90.00 gamma=90.00
Fractional coordinates of all 16 atoms:
Cd  0.000  0.000  0.000
Cd  0.000  0.500  0.500
Cd  0.500  0.000  0.500
Cd  0.500  0.500  0.000
In  0.000  0.000  0.500
In  0.000  0.500  0.000
In  0.500  0.000  0.000
In  0.500  0.500  0.500
Ga  0.250  0.250  0.750
Ga  0.250  0.750  0.250
Ga  0.750  0.250  0.250
Ga  0.750  0.750  0.750
Hg  0.250  0.250  0.250
Hg  0.250  0.750  0.750
Hg  0.750  0.250  0.750
Hg  0.750  0.750  0.250

## Properties
- energy relative to the elements (eV/atom) = 0.09
- energy (eV per cell) = -26.5
- excess energy over the best structure of this formula in the dataset (meV/atom) = 35
- SG = No. 216

# 15
DFT (PBE) results for crystalline PrZn2Co2Ge at its relaxed geometry.

Unit cell a=4.364 b=4.364 c=5.757 alpha=90.00 beta=90.00 gamma=90.00
Fractional coordinates of all 6 atoms:
Pr  0.000  0.000  0.000
Zn  0.500  0.500  0.245
Zn  0.500  0.500  0.755
Co  0.000  0.500  0.500
Co  0.500  0.000  0.500
Ge  0.000  0.000  0.500

## Properties
- energy relative to the elements (eV/atom) = -0.08
- energy (eV per cell) = -26.7
- SG = No. 123

# 16
DFT (PBE) results for crystalline CuOsOF2 at its relaxed geometry.

Unit cell a=4.334 b=4.334 c=3.692 alpha=90.00 beta=90.00 gamma=90.00
Fractional coordinates of all 5 atoms:
Cu  0.000  0.000  0.000
Os  0.500  0.500  0.500
O  0.500  0.500  0.000
F  0.000  0.500  0.500
F  0.500  0.000  0.500

## Properties
- energy (eV per cell) = -26.2
- uncorrected formation energy (meV/atom) = -433
- SG = No. 123

# 17
DFT (PBE) results for crystalline MnPt2Se at its relaxed geometry.

Unit cell a=2.917 b=2.917 c=7.612 alpha=90.00 beta=90.00 gamma=90.00
Fractional coordinates of all 4 atoms:
Mn  0.000  0.000  0.000
Pt  0.500  0.500  0.230
Pt  0.500  0.500  0.770
Se  0.000  0.000  0.500

## Properties
- energy (eV per cell) = -24.9
- uncorrected formation energy (meV/atom) = -43
- SG = No. 123

# 18
DFT (PBE) results for crystalline LaZr2P at its relaxed geometry.

Unit cell a=3.612 b=3.612 c=26.410 alpha=90.00 beta=90.00 gamma=120.00
Fractional coordinates of all 12 atoms:
La  0.000  0.000  0.000
La  0.333  0.667  0.667
La  0.667  0.333  0.333
Zr  0.000  0.000  0.224
Zr  0.000  0.000  0.776
Zr  0.333  0.667  0.443
Zr  0.333  0.667  0.890
Zr  0.667  0.333  0.110
Zr  0.667  0.333  0.557
P  0.000  0.000  0.500
P  0.333  0.667  0.167
P  0.667  0.333  0.833

## Properties
- energy relative to the elements (eV/atom) = -0.57
- energy (eV per cell) = -89.2
- SG = No. 166

# 19
DFT (PBE) results for crystalline Pr2HRhO6 at its relaxed geometry.

Unit cell a=5.513 b=5.513 c=5.425 alpha=117.77 beta=117.77 gamma=56.31
Fractional coordinates of all 10 atoms:
Pr  0.242  0.242  0.227
Pr  0.758  0.758  0.773
H  0.500  0.500  0.000
Rh  0.000  0.000  0.500
O  0.212  0.693  0.194
O  0.236  0.236  0.654
O  0.307  0.788  0.806
O  0.693  0.212  0.194
O  0.764  0.764  0.346
O  0.788  0.307  0.806

## Properties
- energy (eV per cell) = -67.0
- SG = No. 12

# 20
DFT (PBE) results for crystalline Cs16KPb12 at its relaxed geometry.

Unit cell a=12.317 b=12.317 c=12.386 alpha=109.41 beta=109.41 gamma=108.93
Fractional coordinates of all 29 atoms:
Cs  0.000  0.000  0.000
Cs  0.001  0.696  0.312
Cs  0.006  0.710  0.759
Cs  0.007  0.007  0.315
Cs  0.008  0.453  0.023
Cs  0.268  0.562  0.870
Cs  0.295  0.295  0.050
Cs  0.297  0.739  0.601
Cs  0.319  0.319  0.627
Cs  0.453  0.008  0.023
Cs  0.459  0.709  0.320
Cs  0.562  0.268  0.870
Cs  0.696  0.001  0.312
Cs  0.709  0.459  0.320
Cs  0.710  0.006  0.759
Cs  0.739  0.297  0.601
K  0.574  0.574  0.602
Pb  0.006  0.163  0.683
Pb  0.007  0.373  0.469
Pb  0.163  0.006  0.683
Pb  0.172  0.368  0.317
Pb  0.227  0.857  0.163
Pb  0.368  0.172  0.317
Pb  0.373  0.007  0.469
Pb  0.632  0.632  0.095
Pb  0.634  0.791  0.941
Pb  0.791  0.634  0.941
Pb  0.852  0.852  0.532
Pb  0.857  0.227  0.163

## Properties
- energy relative to the elements (eV/atom) = -0.12
- energy (eV per cell) = -62.7
- SG = No. 8